[1]
Density functional theory data (GGA-PBE) for a relaxed Y4MgAu crystal.

Cell lengths 5.0189, 5.0191, 7.5203 Å; angles 90.00, 90.00, 90.00 degrees
Positions (direct):
Y1 0.5013 0.9973 0.2700
Y2 0.5013 0.9973 0.7262
Y3 0.0013 0.4973 0.7262
Y4 0.0013 0.4973 0.2701
Mg1 0.5013 0.4973 0.9981
Au1 0.0013 0.9973 0.4982

Output
V, Å³ per atom: 31.573



[2]
Density functional theory data (GGA-PBE) for a relaxed Pu2GaB2Ir5 crystal.

Cell lengths 3.3026, 9.4977, 9.4977 Å; angles 90.00, 90.00, 90.00 degrees
Positions (direct):
Pu1 0.0000 0.6773 0.1773
Pu2 0.0000 0.3227 0.8227
Pu3 0.0000 0.1773 0.3227
Pu4 0.0000 0.8227 0.6773
Ga1 0.0000 0.0000 0.0000
Ga2 0.0000 0.5000 0.5000
B1 0.0000 0.1212 0.6212
B2 0.0000 0.8788 0.3788
B3 0.0000 0.6212 0.8788
B4 0.0000 0.3788 0.1212
Ir1 0.5000 0.2187 0.0688
Ir2 0.5000 0.7813 0.9312
Ir3 0.5000 0.0688 0.7813
Ir4 0.5000 0.7187 0.4312
Ir5 0.5000 0.9312 0.2187
Ir6 0.5000 0.2813 0.5688
Ir7 0.5000 0.5688 0.7187
Ir8 0.5000 0.4312 0.2813
Ir9 0.5000 0.5000 0.0000
Ir10 0.5000 0.0000 0.5000

Output
V, Å³ per atom: 14.896



[3]
Density functional theory data (GGA-PBE) for a relaxed BaZnCuC2 crystal.

Cell lengths 4.2831, 4.5385, 4.2831 Å; angles 90.00, 90.00, 90.00 degrees
Positions (direct):
C1 0.0000 0.0000 0.5000
C2 0.5000 0.0000 0.0000
Zn1 0.0000 0.5000 0.0000
Ba1 0.5000 0.5000 0.5000
Cu1 0.0000 0.0000 0.0000

Output
V, Å³ per atom: 16.651



[4]
Density functional theory data (GGA-PBE) for a relaxed Nb3W crystal.

Cell lengths 5.2559, 5.2559, 6.4661 Å; angles 90.00, 90.00, 120.00 degrees
Positions (direct):
Nb1 0.0000 0.6760 0.3175
Nb2 0.3240 0.3240 0.3175
Nb3 0.6760 0.0000 0.3175
Nb4 0.6760 0.6760 0.6825
Nb5 0.0000 0.3240 0.6825
Nb6 0.3240 0.0000 0.6825
W1 0.6667 0.3333 0.0000
W2 0.3333 0.6667 0.0000

Output
V, Å³ per atom: 19.337



[5]
Density functional theory data (GGA-PBE) for a relaxed La2Y9Er crystal.

Cell lengths 5.0876, 5.0876, 15.2945 Å; angles 90.00, 90.00, 90.00 degrees
Positions (direct):
La1 0.0000 0.0000 0.3332
La2 0.0000 0.0000 0.6668
Y1 0.5000 0.5000 0.0000
Y2 0.5000 0.5000 0.3307
Y3 0.5000 0.5000 0.6693
Y4 0.5000 0.0000 0.1624
Y5 0.5000 0.0000 0.5000
Y6 0.5000 0.0000 0.8376
Y7 0.0000 0.5000 0.1624
Y8 0.0000 0.5000 0.5000
Y9 0.0000 0.5000 0.8376
Er1 0.0000 0.0000 0.0000

Output
V, Å³ per atom: 32.990



[6]
Density functional theory data (GGA-PBE) for a relaxed HoHfAlGa crystal.

Cell lengths 4.8892, 4.8892, 4.8892 Å; angles 60.00, 60.00, 60.00 degrees
Positions (direct):
Hf1 0.2500 0.2500 0.2500
Ho1 0.7500 0.7500 0.7500
Ga1 0.0000 0.0000 0.0000
Al1 0.5000 0.5000 0.5000

Output
V, Å³ per atom: 20.660



| no. | total DFT energy (no corrections) (eV/atom) | calculated formation energy (meV per atom) |
| --- | --- | --- |
| 1 | -5.16 | -39 |
| 2 | -9.39 | -460 |
| 3 | -3.67 | 1475 |
| 4 | -10.23 | 563 |
| 5 | -6.02 | 32 |
| 6 | -5.63 | -304 |